1.
B2ClO2 (PBE-GGA, relaxed); energy relative to the elements, uncorrected = -817 meV per atom; space group = I4_1md, No. 109
1.0
5.323 0.000 0.000
0.000 5.323 0.000
-2.661 -2.661 3.800
B Cl O
4 2 4
Direct
0.446 0.608 0.892 B
0.534 0.196 0.392 B
0.858 0.196 0.392 B
0.446 0.284 0.892 B
0.040 0.040 0.079 Cl
0.290 0.790 0.579 Cl
0.624 0.901 0.249 O
0.598 0.374 0.749 O
0.151 0.374 0.749 O
0.624 0.348 0.249 O

2.
Na2PmBiTe4 (PBE-GGA, relaxed); energy relative to the elements, uncorrected = -929 meV per atom; space group = P2/m, No. 10
1.0
4.512 0.000 0.000
0.000 7.856 0.134
0.000 -2.734 7.552
Na Pm Bi Te
2 1 1 4
Direct
0.500 0.000 0.500 Na
0.000 0.500 0.500 Na
0.500 0.500 0.000 Pm
0.000 0.000 0.000 Bi
0.500 0.245 0.238 Te
0.500 0.755 0.762 Te
0.000 0.253 0.763 Te
0.000 0.747 0.237 Te

3.
Tb3Tm2Zn3 (PBE-GGA, relaxed); ΔE_f = -250 meV per atom; space group = Immm, No. 71
1.0
3.585 0.000 0.000
0.000 5.179 0.000
-1.793 -2.589 10.662
Tb Tm Zn
3 2 3
Direct
0.619 0.619 0.239 Tb
0.381 0.381 0.761 Tb
0.500 0.000 0.000 Tb
0.729 0.229 0.459 Tm
0.271 0.771 0.541 Tm
0.117 0.117 0.234 Zn
0.000 0.500 0.000 Zn
0.883 0.883 0.766 Zn

| no. | total DFT energy (no corrections) (eV/atom) |
| --- | --- |
| 1 | -5.84 |
| 2 | -3.91 |
| 3 | -3.58 |